The following is a PBE calculation of crystalline Dy2CrGe3Pt4 at its relaxed geometry, from Alexandria.

Values from the calculation:
E   -6.458 eV/atom
Energy relative to the elements   -75 kJ per mole of atoms
SG   P-4m2, No. 115

Unit cell a=4.1040 b=4.1040 c=11.0151 alpha=90.00 beta=90.00 gamma=90.00
Site moments in Bohr magnetons follow the coordinates.
Sites, in units of the cell vectors:
Dy  0.5000  0.0000  0.2440  0.00
Dy  0.0000  0.5000  0.7560  0.00
Cr  0.5000  0.5000  0.5000  2.99
Pt  0.5000  0.5000  0.0000  -0.03
Ge  0.0000  0.5000  0.1371  -0.01
Pt  0.0000  0.5000  0.3572  0.01
Pt  0.5000  0.0000  0.6428  0.01
Ge  0.5000  0.0000  0.8629  -0.01
Pt  0.0000  0.0000  0.0000  -0.02
Ge  0.0000  0.0000  0.5000  -0.07


The following is a PBE calculation of crystalline Dy12Cr3H5 at its relaxed geometry, from Alexandria.

Values from the calculation:
E   -5.029 eV/atom
SG   Ia-3d, No. 230

Unit cell a=13.2222 b=13.2222 c=13.2222 alpha=109.47 beta=109.47 gamma=109.47
Site moments in Bohr magnetons follow the coordinates.
Sites, in units of the cell vectors:
H  0.1250  0.7500  0.3750  0.00
H  0.5000  0.5000  0.5000  0.00
H  0.7500  0.6250  0.3750  0.00
Cr  0.3750  0.7500  0.6250  3.13
H  0.5000  0.0000  0.5000  0.00
Dy  0.0201  0.4034  0.8096  -0.12
Dy  0.9062  0.8096  0.7896  -0.12
Dy  0.8096  0.9034  0.0201  -0.12
Dy  0.9062  0.0966  0.6167  -0.12
Dy  0.2896  0.8833  0.9799  -0.12
H  0.0000  0.0000  0.5000  0.00
H  0.7500  0.1250  0.8750  0.00
Cr  0.6250  0.3750  0.7500  3.13
H  0.5000  0.5000  0.0000  0.00
H  0.0000  0.5000  0.0000  0.00
Dy  0.3096  0.5201  0.4034  -0.12
Cr  0.2500  0.6250  0.8750  3.13
H  0.1250  0.3750  0.2500  0.00
Dy  0.8096  0.9062  0.2896  -0.12
Cr  0.8750  0.7500  0.1250  3.13
Dy  0.5201  0.2104  0.1167  -0.12
Dy  0.1904  0.0938  0.7104  -0.12
Dy  0.5938  0.8833  0.4034  -0.12
Dy  0.7896  0.3096  0.9062  -0.12
Dy  0.1904  0.0966  0.9799  -0.12
Cr  0.1250  0.2500  0.8750  3.13
Dy  0.6167  0.5966  0.9062  -0.12
H  0.6250  0.8750  0.2500  0.00
Dy  0.6904  0.4799  0.5966  -0.12
Dy  0.0938  0.1904  0.2104  -0.12
Cr  0.7500  0.8750  0.6250  3.13
Dy  0.2896  0.4062  0.8096  -0.12
Cr  0.1250  0.8750  0.7500  3.13
Dy  0.9034  0.8096  0.5201  -0.12
Cr  0.2500  0.1250  0.3750  3.13
Dy  0.4062  0.2896  0.3096  -0.12
Dy  0.0938  0.9034  0.3833  -0.12
Dy  0.3096  0.7896  0.4062  -0.12
Dy  0.8833  0.5938  0.9034  -0.12
Dy  0.4034  0.3833  0.5938  -0.12
Dy  0.0966  0.1904  0.4799  -0.12
H  0.3750  0.2500  0.1250  0.00
H  0.8750  0.6250  0.7500  0.00
H  0.0000  0.0000  0.0000  0.00
Dy  0.0966  0.9062  0.1167  -0.12
Dy  0.2104  0.6904  0.0938  -0.12
Cr  0.7500  0.3750  0.1250  3.13
Dy  0.3833  0.4034  0.0938  -0.12
Dy  0.5966  0.9799  0.6904  -0.12
Dy  0.3833  0.9799  0.7896  -0.12
H  0.8750  0.2500  0.6250  0.00
Dy  0.9799  0.3833  0.2896  -0.12
Dy  0.5201  0.3096  0.9034  -0.12
Dy  0.4034  0.0201  0.3096  -0.12
Dy  0.5938  0.7104  0.6904  -0.12
H  0.0000  0.5000  0.5000  0.00
H  0.5000  0.0000  0.0000  0.00
Dy  0.2104  0.5201  0.6167  -0.12
Cr  0.6250  0.2500  0.3750  3.13
Dy  0.1167  0.4062  0.0966  -0.12
Dy  0.6904  0.2104  0.5938  -0.12
Cr  0.3750  0.6250  0.2500  3.13
Dy  0.1167  0.7104  0.5201  -0.12
Dy  0.7104  0.5938  0.1904  -0.12
Dy  0.9034  0.0938  0.8833  -0.12
Dy  0.5966  0.6167  0.4062  -0.12
Dy  0.4799  0.6904  0.0966  -0.12
Dy  0.4062  0.1167  0.5966  -0.12
Dy  0.7104  0.1167  0.0201  -0.12
H  0.2500  0.3750  0.6250  0.00
H  0.2500  0.8750  0.1250  0.00
H  0.6250  0.7500  0.8750  0.00
H  0.3750  0.1250  0.7500  0.00
Dy  0.9799  0.5966  0.1904  -0.12
Dy  0.6167  0.0201  0.2104  -0.12
Dy  0.8833  0.2896  0.4799  -0.12
Dy  0.4799  0.7896  0.8833  -0.12
Dy  0.0201  0.6167  0.7104  -0.12
Cr  0.8750  0.1250  0.2500  3.13
Dy  0.7896  0.4799  0.3833  -0.12


Looking at volume for the records above, in order, we have 186, 1779 Å³ per cell.